Compound: InSiNi2
Source: Alexandria via LeMat-Bulk
Functional: GGA-PBE
Structure: optimized geometry

Geometry as CIF:
```
data_InSiNi2
_chemical_formula_sum 'In1 Si1 Ni2'
_cell_length_a 4.1907
_cell_length_b 4.1907
_cell_length_c 3.0967
_cell_angle_alpha 90.00
_cell_angle_beta 90.00
_cell_angle_gamma 90.00
_symmetry_space_group_name_H-M 'P 1'
_symmetry_Int_Tables_number 1
_symmetry_space_group_name_Hall 'P 1'
loop_
_atom_site_label
_atom_site_fract_x
_atom_site_fract_y
_atom_site_fract_z
In1 0.0000 0.0000 0.0000
Si1 0.5000 0.5000 0.0000
Ni1 0.0000 0.5000 0.5000
Ni2 0.5000 0.0000 0.5000
```

## Properties
The total magnetic moment is 0.00 μB per formula unit. Its symmetry is P4/mmm (123). The crystal system is tetragonal. The value obtained for the final energy is -4.997 eV/atom. Its formation energy without anion corrections is -0.066 eV/atom.


Compound: Sm2GdAl
Source: Alexandria via LeMat-Bulk
Functional: GGA-PBE
Structure: optimized geometry

Geometry as CIF:
```
data_Sm2GdAl
_chemical_formula_sum 'Sm2 Gd1 Al1'
_cell_length_a 4.8417
_cell_length_b 4.8417
_cell_length_c 4.8058
_cell_angle_alpha 90.00
_cell_angle_beta 90.00
_cell_angle_gamma 90.00
_symmetry_space_group_name_H-M 'P 1'
_symmetry_Int_Tables_number 1
_symmetry_space_group_name_Hall 'P 1'
loop_
_atom_site_label
_atom_site_fract_x
_atom_site_fract_y
_atom_site_fract_z
Sm1 0.0000 0.5000 0.0000
Sm2 0.5000 0.0000 0.0000
Gd1 0.0000 0.0000 0.5000
Al1 0.5000 0.5000 0.5000
```

## Properties
The calculation puts the energy of formation from the pure elements at -0.748 eV/f.u. The total magnetic moment is 7.78 μB per formula unit. Its symmetry is P4/mmm (123). The crystal system is tetragonal. As for the energy above the lowest structure with this stoichiometry: 0.0 meV per atom. The value obtained for the final energy is -7.002 eV/atom.


Compound: Li5Ta3H12
Source: Alexandria via LeMat-Bulk
Functional: GGA-PBE
Structure: optimized geometry

Geometry as CIF:
```
data_Li5Ta3H12
_chemical_formula_sum 'Li20 Ta12 H48'
_cell_length_a 9.3307
_cell_length_b 9.3307
_cell_length_c 9.3307
_cell_angle_alpha 109.47
_cell_angle_beta 109.47
_cell_angle_gamma 109.47
_symmetry_space_group_name_H-M 'P 1'
_symmetry_Int_Tables_number 1
_symmetry_space_group_name_Hall 'P 1'
loop_
_atom_site_label
_atom_site_fract_x
_atom_site_fract_y
_atom_site_fract_z
Li1 0.0000 0.0000 0.0000
Li2 0.0000 0.0000 0.5000
Li3 0.0000 0.5000 0.0000
Li4 0.0000 0.5000 0.5000
Li5 0.1250 0.7500 0.8750
Li6 0.1250 0.8750 0.2500
Li7 0.2500 0.1250 0.8750
Li8 0.2500 0.6250 0.3750
Li9 0.3750 0.2500 0.6250
Li10 0.3750 0.6250 0.7500
Li11 0.5000 0.0000 0.0000
Li12 0.5000 0.0000 0.5000
Li13 0.5000 0.5000 0.0000
Li14 0.5000 0.5000 0.5000
Li15 0.6250 0.3750 0.2500
Li16 0.6250 0.7500 0.3750
Li17 0.7500 0.3750 0.6250
Li18 0.7500 0.8750 0.1250
Li19 0.8750 0.1250 0.7500
Li20 0.8750 0.2500 0.1250
Ta1 0.1250 0.2500 0.3750
Ta2 0.1250 0.3750 0.7500
Ta3 0.2500 0.3750 0.1250
Ta4 0.2500 0.8750 0.6250
Ta5 0.3750 0.1250 0.2500
Ta6 0.3750 0.7500 0.1250
Ta7 0.6250 0.2500 0.8750
Ta8 0.6250 0.8750 0.7500
Ta9 0.7500 0.1250 0.3750
Ta10 0.7500 0.6250 0.8750
Ta11 0.8750 0.6250 0.2500
Ta12 0.8750 0.7500 0.6250
H1 0.0550 0.2266 0.1408
H2 0.0550 0.3284 0.9142
H3 0.0858 0.6408 0.4142
H4 0.0858 0.7266 0.6716
H5 0.0858 0.8592 0.4142
H6 0.0858 0.9450 0.6716
H7 0.1408 0.0550 0.2266
H8 0.1408 0.5858 0.9142
H9 0.1716 0.2266 0.5858
H10 0.1716 0.4450 0.5858
H11 0.2266 0.1408 0.0550
H12 0.2266 0.5858 0.1716
H13 0.2734 0.3284 0.9142
H14 0.2734 0.4450 0.3592
H15 0.3284 0.9142 0.0550
H16 0.3284 0.9142 0.2734
H17 0.3592 0.2734 0.4450
H18 0.3592 0.5858 0.9142
H19 0.4142 0.0858 0.6408
H20 0.4142 0.0858 0.8592
H21 0.4142 0.8284 0.5550
H22 0.4142 0.8284 0.7734
H23 0.4450 0.3592 0.2734
H24 0.4450 0.5858 0.1716
H25 0.5550 0.4142 0.8284
H26 0.5550 0.6408 0.7266
H27 0.5858 0.1716 0.2266
H28 0.5858 0.1716 0.4450
H29 0.5858 0.9142 0.1408
H30 0.5858 0.9142 0.3592
H31 0.6408 0.4142 0.0858
H32 0.6408 0.7266 0.5550
H33 0.6716 0.0858 0.7266
H34 0.6716 0.0858 0.9450
H35 0.7266 0.5550 0.6408
H36 0.7266 0.6716 0.0858
H37 0.7734 0.4142 0.8284
H38 0.7734 0.8592 0.9450
H39 0.8284 0.5550 0.4142
H40 0.8284 0.7734 0.4142
H41 0.8592 0.4142 0.0858
H42 0.8592 0.9450 0.7734
H43 0.9142 0.0550 0.3284
H44 0.9142 0.1408 0.5858
H45 0.9142 0.2734 0.3284
H46 0.9142 0.3592 0.5858
H47 0.9450 0.6716 0.0858
H48 0.9450 0.7734 0.8592
```

## Properties
The total magnetic moment is 0.00 μB per formula unit. Its symmetry is Ia-3d (230). The crystal system is cubic. The value obtained for the final energy is -4.402 eV/atom.


Compound: BeFeW2
Source: Alexandria via LeMat-Bulk
Functional: GGA-PBE
Structure: optimized geometry

Geometry as CIF:
```
data_BeFeW2
_chemical_formula_sum 'Be1 Fe1 W2'
_cell_length_a 4.4760
_cell_length_b 4.4760
_cell_length_c 2.7041
_cell_angle_alpha 90.00
_cell_angle_beta 90.00
_cell_angle_gamma 106.12
_symmetry_space_group_name_H-M 'P 1'
_symmetry_Int_Tables_number 1
_symmetry_space_group_name_Hall 'P 1'
loop_
_atom_site_label
_atom_site_fract_x
_atom_site_fract_y
_atom_site_fract_z
Be1 0.0000 0.0000 0.0000
Fe1 0.5000 0.5000 0.0000
W1 0.0000 0.5000 0.5000
W2 0.5000 0.0000 0.5000
```

## Properties
The calculation puts the energy of formation from the pure elements at 0.835 eV/f.u. The total magnetic moment is 0.62 μB per formula unit. Its symmetry is Cmmm (65). The crystal system is orthorhombic. The value obtained for the final energy is -9.315 eV/atom.


Compound: Ca2CdIr
Source: Alexandria via LeMat-Bulk
Functional: GGA-PBE
Structure: optimized geometry

Geometry as CIF:
```
data_Ca2CdIr
_chemical_formula_sum 'Ca2 Cd1 Ir1'
_cell_length_a 6.7434
_cell_length_b 6.7434
_cell_length_c 6.7434
_cell_angle_alpha 151.18
_cell_angle_beta 136.32
_cell_angle_gamma 53.18
_symmetry_space_group_name_H-M 'P 1'
_symmetry_Int_Tables_number 1
_symmetry_space_group_name_Hall 'P 1'
loop_
_atom_site_label
_atom_site_fract_x
_atom_site_fract_y
_atom_site_fract_z
Ca1 0.0000 0.0000 0.0000
Ca2 0.6931 0.1931 0.5000
Cd1 0.3100 0.8100 0.5000
Ir1 0.4953 0.4953 0.0000
```

## Properties
The calculation puts the energy of formation from the pure elements at -0.854 eV/f.u. The total magnetic moment is 0.00 μB per formula unit. Its symmetry is Imm2 (44). The crystal system is orthorhombic. The value obtained for the final energy is -3.658 eV/atom.


Compound: Ba2NaTe2
Source: Alexandria via LeMat-Bulk
Functional: GGA-PBE
Structure: optimized geometry

Geometry as CIF:
```
data_Ba2NaTe2
_chemical_formula_sum 'Ba4 Na2 Te4'
_cell_length_a 9.6362
_cell_length_b 9.6362
_cell_length_c 4.3902
_cell_angle_alpha 90.00
_cell_angle_beta 90.00
_cell_angle_gamma 90.00
_symmetry_space_group_name_H-M 'P 1'
_symmetry_Int_Tables_number 1
_symmetry_space_group_name_Hall 'P 1'
loop_
_atom_site_label
_atom_site_fract_x
_atom_site_fract_y
_atom_site_fract_z
Ba1 0.1440 0.3560 0.0000
Ba2 0.3560 0.8560 0.0000
Ba3 0.6440 0.1440 0.0000
Ba4 0.8560 0.6440 0.0000
Na1 0.0000 0.0000 0.0000
Na2 0.5000 0.5000 0.0000
Te1 0.1577 0.6577 0.5000
Te2 0.3423 0.1577 0.5000
Te3 0.6577 0.8423 0.5000
Te4 0.8423 0.3423 0.5000
```

## Properties
The total magnetic moment is 0.67 μB per formula unit. Its symmetry is P4/mbm (127). The crystal system is tetragonal. As for the energy above the lowest structure with this stoichiometry: 156.6 meV per atom. The value obtained for the final energy is -3.444 eV/atom. Its formation energy without anion corrections is -1.154 eV/atom.